SrAc2In | GGA-PBE | relaxed Values from VASP.

```
&SYSTEM
  ibrav = 0, nat = 4, ntyp = 3
/
ATOMIC_SPECIES
Sr 87.62 Sr.upf
Ac 227.00 Ac.upf
In 114.82 In.upf
ATOMIC_POSITIONS crystal
Sr 0.000 0.000 0.000
Ac 0.101 0.101 0.101
Ac 0.899 0.899 0.899
In 0.500 0.500 0.500
CELL_PARAMETERS angstrom
1.988 1.148 13.009
-1.988 1.148 13.009
0.000 -2.296 13.009
```

Output
E_tot	-0.230	Ry/atom
polymorph energy (0 for the lowest one)	177.8	meV/atom
calculated formation energy	26	meV per atom
total magnetic moment	0.0	μB/f.u.
SG	R-3m (166)


Tb5DyBi4 | GGA-PBE | relaxed Values from VASP.

```
&SYSTEM
  ibrav = 0, nat = 10, ntyp = 3
/
ATOMIC_SPECIES
Tb 158.93 Tb.upf
Dy 162.50 Dy.upf
Bi 208.98 Bi.upf
ATOMIC_POSITIONS crystal
Tb 0.000 0.000 0.000
Tb 0.316 0.316 0.152
Tb 0.338 0.338 0.696
Tb 0.662 0.662 0.304
Tb 0.684 0.684 0.848
Dy 0.000 0.000 0.500
Bi 0.169 0.169 0.575
Bi 0.487 0.487 0.239
Bi 0.513 0.513 0.761
Bi 0.831 0.831 0.425
CELL_PARAMETERS angstrom
9.532 -2.211 0.000
9.532 2.211 0.000
-2.483 0.000 8.116
```

Output
E_tot	-0.354	Ry/atom
calculated formation energy	-488	meV per atom
total magnetic moment	0.0	μB/f.u.
SG	C2/m (12)